Entry from Alexandria: an optimized crystal structure of RbV4O8 (PBE+U).

- M_tot (μB/atom) = 0.38
- final energy (hartree per atom) = -0.2714

Cell: 10.3400 5.9446 7.7184 Å, 90.00 116.68 90.00°
Last column: nearest neighbours and their distance in Å.
Space group C2/m (No. 12)
One atom of each set of equivalent atoms:
Rb1 0.0000 0.0000 0.0000 [2 per cell]  6 O 2.98-3.04
V1 0.0000 0.0000 0.5000 [2 per cell]  6 O 1.95-2.03
V2 0.0000 0.5000 0.5000 [2 per cell]  6 O 1.93-2.00
V3 0.2500 0.2500 0.5000 [4 per cell]  6 O 1.95-2.04
O1 0.0295 0.2454 0.3530 [8 per cell]  3 V 1.95-2.04
O2 0.2079 0.5000 0.6444 [4 per cell]  3 V 1.93-2.02
O3 0.2196 0.0000 0.6418 [4 per cell]  3 V 1.95-2.03